*A*
A plane-wave DFT calculation with GGA-PBE was carried out for a relaxed structure of Cu2Pt.

Calculated values
As for the space group: No. 189. As for the crystal system: hexagonal.

Lattice parameters (Å, degrees): 7.265 7.265 2.702 90.00 90.00 120.00
Positions (direct):
Cu (0.000, 0.304, 0.000)
Cu (0.000, 0.634, 0.500)
Cu (0.304, 0.000, 0.000)
Cu (0.366, 0.366, 0.500)
Cu (0.634, 0.000, 0.500)
Cu (0.696, 0.696, 0.000)
Pt (0.000, 0.000, 0.500)
Pt (0.333, 0.667, 0.000)
Pt (0.667, 0.333, 0.000)

---

*B*
A plane-wave DFT calculation with GGA-PBE was carried out for a relaxed structure of Cu2Pt.

Calculated values
As for the space group: No. 63. As for the crystal system: orthorhombic.

Lattice parameters (Å, degrees): 4.593 4.593 4.398 90.00 90.00 59.75
Positions (direct):
Cu (0.002, 0.663, 0.750)
Cu (0.337, 0.998, 0.750)
Cu (0.663, 0.002, 0.250)
Cu (0.998, 0.337, 0.250)
Pt (0.324, 0.676, 0.250)
Pt (0.676, 0.324, 0.750)

---

*B* is preferred energetically. Next in line: 0.056 eV/atom higher.

---

*A*
A plane-wave DFT calculation with GGA-PBE was carried out for a relaxed structure of IrC.

Calculated values
As for the space group: No. 63. As for the crystal system: orthorhombic.

Lattice parameters (Å, degrees): 4.077 4.077 4.099 90.00 90.00 138.74
Positions (direct):
Ir (0.117, 0.883, 0.750)
Ir (0.883, 0.117, 0.250)
C (0.183, 0.817, 0.250)
C (0.817, 0.183, 0.750)

---

*B*
A plane-wave DFT calculation with GGA-PBE was carried out for a relaxed structure of IrC.

Calculated values
As for the space group: No. 187. As for the crystal system: hexagonal.

Lattice parameters (Å, degrees): 3.341 3.341 2.824 90.00 90.00 120.00
Positions (direct):
Ir (0.000, 0.000, 0.000)
C (0.333, 0.667, 0.000)

---

*B* is preferred energetically. Next in line: 0.150 eV/atom higher.

---

*A*
A plane-wave DFT calculation with GGA-PBE was carried out for a relaxed structure of SiGeAu.

Calculated values
As for the space group: No. 156. As for the crystal system: trigonal.

Lattice parameters (Å, degrees): 3.512 3.512 5.107 90.00 90.00 120.00
Positions (direct):
Si (0.000, 0.000, 0.000)
Ge (0.333, 0.667, 0.670)
Au (0.667, 0.333, 0.309)

---

*B*
A plane-wave DFT calculation with GGA-PBE was carried out for a relaxed structure of SiGeAu.

Calculated values
As for the space group: No. 6. As for the crystal system: monoclinic.

Lattice parameters (Å, degrees): 4.763 3.723 7.278 90.00 109.03 90.00
Positions (direct):
Si (0.000, 0.000, 0.000)
Si (0.110, 0.500, 0.216)
Ge (0.245, 0.000, 0.487)
Ge (0.676, 0.500, 0.351)
Au (0.443, 0.000, 0.884)
Au (0.819, 0.000, 0.635)

---

*B* is preferred energetically. Next in line: 0.017 eV/atom higher.